{
  "formula": "LiPmHg5",
  "functional": "GGA-PBE",
  "state": "optimized geometry",
  "lattice_angstrom": [[-3.0549, -2.0624, -3.8683], [-0.5579, -3.3259, 4.1445], [-5.1945, 3.5944, 2.1854]],
  "species": ["Li", "Pm", "Hg", "Hg", "Hg", "Hg", "Hg"],
  "fractional_positions": [[0.5000, 0.5000, 0.5000], [0.0000, 0.0000, 0.0000], [0.5000, 0.0000, 0.2508], [0.0000, 0.5000, 0.2508], [0.0000, 0.0000, 0.5000], [0.0000, 0.5000, 0.7492], [0.5000, 0.0000, 0.7492]],
  "delta_e_f_ev_per_atom": -0.225,
  "magnetic_moment_mub_per_cell": 0.000
}

{
  "formula": "Li2PmHg4",
  "functional": "GGA-PBE",
  "state": "optimized geometry",
  "lattice_angstrom": [[4.5430, 0.0000, 1.4193], [2.0498, 4.0543, 1.4193], [-0.2262, -0.1391, 8.7043]],
  "species": ["Li", "Li", "Pm", "Hg", "Hg", "Hg", "Hg"],
  "fractional_positions": [[0.7570, 0.7570, 0.7291], [0.2430, 0.2430, 0.2709], [0.0000, 0.0000, 0.0000], [0.8696, 0.8696, 0.3913], [0.1304, 0.1304, 0.6087], [0.5991, 0.5991, 0.2027], [0.4009, 0.4009, 0.7973]],
  "delta_e_f_ev_per_atom": -0.300,
  "magnetic_moment_mub_per_cell": 0.000
}

{
  "formula": "LiPm2Hg4",
  "functional": "GGA-PBE",
  "state": "optimized geometry",
  "lattice_angstrom": [[4.7973, 0.0000, 0.0000], [0.0000, 4.7973, 0.0000], [-2.3986, -2.3986, 8.0007]],
  "species": ["Li", "Pm", "Pm", "Hg", "Hg", "Hg", "Hg"],
  "fractional_positions": [[0.0000, 0.0000, 0.0000], [0.6402, 0.6402, 0.2804], [0.3598, 0.3598, 0.7196], [0.8332, 0.8332, 0.6665], [0.1668, 0.1668, 0.3335], [0.0000, 0.5000, 0.0000], [0.5000, 0.0000, 0.0000]],
  "delta_e_f_ev_per_atom": -0.245,
  "magnetic_moment_mub_per_cell": 0.000,
  "relative_energy_ev_per_atom": 0.092
}